Si2SnW: optimized geometry, PBE.

Cell lengths 7.0781, 7.0781, 7.0781 Å; angles 130.11, 130.11, 73.23 degrees
Fractional positions:
Si 0.0869 0.6250 0.9619
Si 0.3750 0.3369 0.4619
Si 0.6631 0.1250 0.0381
Si 0.8750 0.9131 0.5381
Sn 0.2500 0.7500 0.5000
Sn 0.5000 0.5000 0.0000
W 0.0000 0.0000 0.0000
W 0.7500 0.2500 0.5000

Computed properties:
Final energy   -48.88 eV/cell
Energy relative to the elements, uncorrected   0.84 eV per atom